CrGeO4 after structural relaxation, computed with PBE+U.

Calculated values
The density is 5.29 Mg/m³. As for the excess energy over the best structure of this formula in the dataset: 0.00 eV/f.u. For the total magnetic moment, the calculation gives 4.00 Bohr magnetons per cell. The value obtained for the density of states at the Fermi level is 0.2 states/eV per cell.

Unit cell a=5.3615 b=5.3615 c=5.3615 alpha=107.85 beta=107.85 gamma=112.77
Last column: nearest neighbours and their distance in Å.
Positions (direct):
O 0.2018 0.0048 0.1970  2 Cr 1.91-1.96, 1 Ge 1.92
O 0.7548 0.0577 0.3030  2 Cr 1.91-1.96, 1 Ge 1.92
O 0.2446 0.9399 0.6953  2 Ge 1.90-1.92, 1 Cr 1.96
O 0.2994 0.4946 0.8047  2 Ge 1.90-1.92, 1 Cr 1.96
O 0.6899 0.4946 0.1953  2 Ge 1.90-1.92, 1 Cr 1.96
O 0.8077 0.0048 0.8030  2 Cr 1.91-1.96, 1 Ge 1.92
O 0.7548 0.4518 0.6970  2 Cr 1.91-1.96, 1 Ge 1.92
O 0.2446 0.5494 0.3047  2 Ge 1.90-1.92, 1 Cr 1.96
Cr 0.5006 0.0006 0.5000  6 O 1.91-1.96
Cr 0.7506 0.7506 0.0000  6 O 1.91-1.96
Ge 0.0006 0.5006 0.5000  6 O 1.90-1.92
Ge 0.2506 0.2506 0.0000  6 O 1.90-1.92